[1]
# LaInCl (PBE-GGA, optimized geometry)
data_LaInCl
_chemical_formula_sum 'La1 In1 Cl1'
_symmetry_space_group_name_H-M 'P 1'
_symmetry_Int_Tables_number 1
_cell_length_a 5.2054
_cell_length_b 5.2054
_cell_length_c 5.2054
_cell_angle_alpha 60.00
_cell_angle_beta 60.00
_cell_angle_gamma 60.00
loop_
_symmetry_equiv_pos_as_xyz
'x,y,z'
loop_
_atom_site_label
_atom_site_type_symbol
_atom_site_fract_x
_atom_site_fract_y
_atom_site_fract_z
Cl1 Cl 0.0000 0.0000 0.0000
La1 La 0.2500 0.2500 0.2500
In1 In 0.5000 0.5000 0.5000
# Energy relative to the elements, uncorrected in eV/atom: -0.494

[2]
# LaIn5Cl8 (PBE-GGA, optimized geometry)
data_LaIn5Cl8
_chemical_formula_sum 'La1 In5 Cl8'
_symmetry_space_group_name_H-M 'P 1'
_symmetry_Int_Tables_number 1
_cell_length_a 8.8568
_cell_length_b 8.8568
_cell_length_c 8.8568
_cell_angle_alpha 99.48
_cell_angle_beta 99.48
_cell_angle_gamma 132.11
loop_
_symmetry_equiv_pos_as_xyz
'x,y,z'
loop_
_atom_site_label
_atom_site_type_symbol
_atom_site_fract_x
_atom_site_fract_y
_atom_site_fract_z
La1 La 0.2500 0.7500 0.5000
Cl1 Cl 0.4682 0.7375 0.2690
Cl2 Cl 0.9950 0.6887 0.6940
Cl3 Cl 0.4685 0.1992 0.7310
Cl4 Cl 0.2625 0.5315 0.7306
Cl5 Cl 0.6990 0.0050 0.6937
Cl6 Cl 0.8008 0.5318 0.2694
In1 In 0.9543 0.0451 0.4993
In2 In 0.5000 0.5000 0.0000
In3 In 0.5450 0.0457 0.0908
Cl7 Cl 0.9947 0.3010 0.3060
In4 In 0.5457 0.4550 0.5007
In5 In 0.9549 0.4543 0.9092
Cl8 Cl 0.3113 0.0053 0.3063
# Energy relative to the elements, uncorrected in eV/atom: -1.221

Fermi-level density of states (computed, states/eV per cell): 4.25 0.00